Material: NaHgS2N
Method: DFT, PBE
State: optimized geometry

Summary:
Formation energy from raw total energies (eV per atom): 1.318
Offset from the most stable computed form (eV/f.u.): 2.26

abc: 5.128 5.128 4.395
angles: 90.00 90.00 90.00
Space group P4/mmm (No. 123)
Inequivalent atoms, fractional coordinates:
Na: 0.000 0.000 0.000 [1 per cell]
Hg: 0.500 0.500 0.500 [1 per cell]
S: 0.000 0.500 0.000 [2 per cell]
N: 0.000 0.000 0.500 [1 per cell]